# RbPm2Sm3Se6

An optimized crystal structure of RbPm2Sm3Se6 (GGA-PBE, Alexandria).

Cell: 4.2003 8.6839 9.5462 Å, 103.39 102.71 90.00°
Fractional positions:
1 Rb 0.5000 0.0000 0.0000
2 Pm 0.8289 0.6532 0.6578
3 Pm 0.1711 0.3468 0.3422
4 Sm 0.5000 0.5000 0.0000
5 Sm 0.8368 0.1785 0.6735
6 Sm 0.1632 0.8215 0.3265
7 Se 0.3246 0.9147 0.6492
8 Se 0.6642 0.5852 0.3284
9 Se 0.6754 0.0853 0.3508
10 Se 0.0025 0.2722 0.0050
11 Se 0.9975 0.7278 0.9950
12 Se 0.3358 0.4148 0.6716

Fermi-level density of states   4.0 states/eV/f.u.
Formation energy without anion corrections   -1.74 eV/atom
Space-group type   No. 12